First-principles (PBE-GGA) data for GeBMo2 after structural relaxation, as listed in the Open Quantum Materials Database.

```
8
Lattice="3.2024 0.0000 0.0000 -1.6012 2.7734 0.0000 0.0000 0.0000 12.3500" Properties=species:S:1:pos:R:3 pbc="T T T"
Ge 0.0000 1.8489 3.0875
Ge 1.6012 0.9245 9.2625
B 0.0000 0.0000 0.0000
B 0.0000 0.0000 6.1750
Mo 0.0000 1.8489 7.3575
Mo 0.0000 1.8489 11.1675
Mo 1.6012 0.9245 1.1825
Mo 1.6012 0.9245 4.9925
```

Properties
* electronic total energy: -8.493 eV per atom